Entry one
PmSc7, optimized geometry, DFT PBE; size of the total moment = 0.00 μB/cell
1.0
-0.868 -3.129 0.467
4.025 -3.733 -5.999
6.464 -2.919 3.978
Sc Pm
7 1
Direct
0.365 0.864 0.405
0.635 0.136 0.595
0.253 0.247 0.247
0.635 0.595 0.136
0.747 0.753 0.753
0.365 0.405 0.864
0.000 0.500 0.500
0.000 0.000 0.000



Entry two
PmSc7, optimized geometry, DFT PBE; size of the total moment = 0.00 μB/cell
1.0
6.605 0.000 0.000
3.302 5.720 0.000
3.302 1.907 5.393
Sc Pm
7 1
Direct
0.000 0.500 0.000
0.500 0.000 0.000
0.500 0.500 0.500
0.000 0.000 0.500
0.500 0.500 0.000
0.000 0.500 0.500
0.500 0.000 0.500
0.000 0.000 0.000



Least stable of them? entry two.



Entry one
PmSc3, optimized geometry, DFT PBE; size of the total moment = 0.00 μB/cell
1.0
5.736 -0.064 0.000
1.766 5.458 0.000
-3.751 -2.697 3.400
Sc Pm
3 1
Direct
0.750 0.250 0.500
0.250 0.750 0.500
0.500 0.500 0.000
0.000 0.000 0.000



Entry two
PmSc3, optimized geometry, DFT PBE; size of the total moment = 0.00 μB/cell
1.0
3.436 0.000 0.000
0.000 5.870 0.000
-1.718 -2.935 5.323
Sc Pm
3 1
Direct
0.756 0.095 0.512
0.244 0.582 0.488
0.500 0.499 0.000
0.000 0.991 0.000



Least stable of them? entry one.



Entry one
PmSc3, optimized geometry, DFT PBE; size of the total moment = 0.01 μB/cell
1.0
-0.451 -4.722 0.204
1.831 0.015 4.381
-4.357 0.494 1.819
Sc Pm
3 1
Direct
0.500 0.000 0.500
0.000 0.500 0.500
0.500 0.500 0.000
0.000 0.000 0.000



Entry two
PmSc3, optimized geometry, DFT PBE; size of the total moment = 0.00 μB/cell
1.0
-5.561 -2.366 3.052
0.241 -5.835 3.426
0.205 1.301 8.891
Sc Pm
9 3
Direct
0.500 0.000 0.000
0.282 0.770 0.667
0.718 0.718 0.333
0.000 0.500 0.000
0.282 0.282 0.667
0.718 0.230 0.333
0.500 0.500 0.000
0.770 0.282 0.667
0.230 0.718 0.333
0.000 0.000 0.000
0.779 0.779 0.662
0.221 0.221 0.338



Least stable of them? entry one.



Entry one
PmSc3, optimized geometry, DFT PBE; size of the total moment = 0.00 μB/cell
1.0
-1.352 -4.942 1.459
3.428 -2.990 2.772
-0.960 -1.096 5.124
Pm Sc
1 3
Direct
0.500 0.500 0.500
0.750 0.750 0.750
0.250 0.250 0.250
0.000 0.000 0.000



Entry two
PmSc3, optimized geometry, DFT PBE; size of the total moment = 0.00 μB/cell
1.0
5.560 0.000 0.000
0.000 6.163 -1.563
0.000 1.376 6.208
Pm Sc
2 6
Direct
0.750 0.577 0.423
0.250 0.423 0.577
0.250 0.090 0.910
0.750 0.399 0.926
0.750 0.910 0.090
0.750 0.074 0.601
0.250 0.926 0.399
0.250 0.601 0.074



Least stable of them? entry two.



Entry one
Pm7Sc, optimized geometry, DFT PBE; size of the total moment = 0.00 μB/cell
1.0
-0.636 -2.857 -1.988
6.510 -5.436 2.583
-4.318 -5.212 5.726
Pm Sc
7 1
Direct
0.372 0.388 0.869
0.372 0.869 0.388
0.628 0.612 0.131
0.000 0.500 0.500
0.740 0.761 0.761
0.628 0.131 0.612
0.260 0.239 0.239
0.000 0.000 0.000



Entry two
Pm7Sc, optimized geometry, DFT PBE; size of the total moment = 0.00 μB/cell
1.0
7.196 0.000 0.000
3.598 6.232 0.000
3.598 2.077 5.876
Pm Sc
7 1
Direct
0.000 0.500 0.000
0.500 0.000 0.000
0.500 0.000 0.500
0.000 0.000 0.500
0.000 0.500 0.500
0.500 0.500 0.500
0.500 0.500 0.000
0.000 0.000 0.000



Least stable of them? entry one.



Entry one
Pm4ScSe5, optimized geometry, DFT PBE; size of the total moment = 0.00 μB/cell
1.0
-3.946 0.026 -1.253
-0.773 -3.310 2.364
-1.138 10.459 10.645
Se Sc Pm
5 1 4
Direct
0.297 0.297 0.594
0.093 0.093 0.186
0.703 0.703 0.406
0.907 0.907 0.814
0.500 0.500 0.000
0.000 0.000 0.000
0.399 0.399 0.798
0.601 0.601 0.202
0.806 0.806 0.612
0.194 0.194 0.388



Entry two
Pm4ScSe5, optimized geometry, DFT PBE; size of the total moment = 0.00 μB/cell
1.0
-3.252 -1.050 2.306
-2.030 -3.504 -0.774
8.498 -9.822 11.193
Sc Se Pm
1 5 4
Direct
0.500 0.500 0.500
0.000 0.000 0.000
0.195 0.195 0.415
0.598 0.598 0.207
0.402 0.402 0.793
0.805 0.805 0.585
0.701 0.701 0.896
0.299 0.299 0.104
0.897 0.897 0.309
0.103 0.103 0.691



Least stable of them? entry one.